This record from Alexandria via LeMat-Bulk describes a relaxed Sr2TlWO6 crystal. The functional is GGA+U.

Cell lengths 5.941, 5.941, 5.941 Å; angles 62.15, 62.15, 62.15 degrees
Sites, in units of the cell vectors:
Sr: 0.237 0.237 0.237
Sr: 0.763 0.763 0.763
Tl: 0.500 0.500 0.500
W: 0.000 0.000 0.000
O: 0.118 0.318 0.803
O: 0.197 0.882 0.682
O: 0.318 0.803 0.118
O: 0.682 0.197 0.882
O: 0.803 0.118 0.318
O: 0.882 0.682 0.197

Output
- crystal system = trigonal
- M_tot (μB/cell) = 0.000
- calculated total energy (eV/atom) = -6.4182